The following is a DFT calculation (PBE) of LiCdTcO4 after structural relaxation.

**D(E_F)**: 3.686 states/eV/f.u.
**Uncorrected formation energy**: -127.13 kJ per mole of atoms
**Symmetry**: Imma (74)

```
LiCdTcO4
1.0
6.1184 0.0000 0.0000
3.0592 5.2790 -0.4677
3.0592 1.1627 5.1706
O Li Tc Cd
8 2 2 2
direct
0.2343 0.7779 0.7535 O
0.1927 0.3134 0.8134 O
0.6806 0.3134 0.8134 O
0.2343 0.2535 0.2779 O
0.7657 0.7465 0.7221 O
0.8073 0.6866 0.1866 O
0.3194 0.6866 0.1866 O
0.7657 0.2221 0.2465 O
0.0000 0.0000 0.0000 Li
0.0000 0.5000 0.5000 Li
0.2930 0.4570 0.9570 Tc
0.7070 0.5430 0.0430 Tc
0.0000 0.0000 0.5000 Cd
0.5000 0.0000 0.5000 Cd
```